PrLuGaIr | PBE-GGA | optimized geometry

Calculated values
Energy of formation from the pure elements (eV per atom): -0.579
Crystal system: cubic
Spin magnetization (Bohr magnetons per cell): 0.0

a = 7.0939 Å, b = 7.0939 Å, c = 7.0939 Å
α = 90.00°, β = 90.00°, γ = 90.00°
Space group F-43m (No. 216)
Inequivalent atoms, fractional coordinates:
Pr (0.0000, 0.0000, 0.0000) (multiplicity 4)
Lu (0.0000, 0.0000, 0.5000) (multiplicity 4)
Ga (0.2500, 0.2500, 0.2500) (multiplicity 4)
Ir (0.2500, 0.2500, 0.7500) (multiplicity 4)

***

LuPuGaIr | PBE-GGA | optimized geometry

Calculated values
Energy of formation from the pure elements (eV per atom): -0.514
Crystal system: cubic
Spin magnetization (Bohr magnetons per cell): 20.7

a = 6.9363 Å, b = 6.9363 Å, c = 6.9363 Å
α = 90.00°, β = 90.00°, γ = 90.00°
Space group F-43m (No. 216)
Inequivalent atoms, fractional coordinates:
Lu (0.0000, 0.0000, 0.0000) (multiplicity 4)
Pu (0.0000, 0.0000, 0.5000) (multiplicity 4)
Ga (0.2500, 0.2500, 0.2500) (multiplicity 4)
Ir (0.2500, 0.2500, 0.7500) (multiplicity 4)

***

LuGaIrRh | PBE-GGA | optimized geometry

Calculated values
Energy of formation from the pure elements (eV per atom): -0.807
Crystal system: cubic
Spin magnetization (Bohr magnetons per cell): 0.0

a = 6.3936 Å, b = 6.3936 Å, c = 6.3936 Å
α = 90.00°, β = 90.00°, γ = 90.00°
Space group F-43m (No. 216)
Inequivalent atoms, fractional coordinates:
Lu (0.0000, 0.0000, 0.0000) (multiplicity 4)
Ga (0.0000, 0.0000, 0.5000) (multiplicity 4)
Ir (0.2500, 0.2500, 0.2500) (multiplicity 4)
Rh (0.2500, 0.2500, 0.7500) (multiplicity 4)

***

LuGaIrRu | PBE-GGA | optimized geometry

Calculated values
Energy of formation from the pure elements (eV per atom): -0.540
Crystal system: cubic
Spin magnetization (Bohr magnetons per cell): 0.0

a = 6.3849 Å, b = 6.3849 Å, c = 6.3849 Å
α = 90.00°, β = 90.00°, γ = 90.00°
Space group F-43m (No. 216)
Inequivalent atoms, fractional coordinates:
Lu (0.0000, 0.0000, 0.0000) (multiplicity 4)
Ga (0.0000, 0.0000, 0.5000) (multiplicity 4)
Ir (0.2500, 0.2500, 0.2500) (multiplicity 4)
Ru (0.2500, 0.2500, 0.7500) (multiplicity 4)

***

LuScGaIr | PBE-GGA | optimized geometry

Calculated values
Energy of formation from the pure elements (eV per atom): -0.761
Crystal system: cubic
Spin magnetization (Bohr magnetons per cell): 0.0

a = 6.7279 Å, b = 6.7279 Å, c = 6.7279 Å
α = 90.00°, β = 90.00°, γ = 90.00°
Space group F-43m (No. 216)
Inequivalent atoms, fractional coordinates:
Lu (0.0000, 0.0000, 0.0000) (multiplicity 4)
Sc (0.0000, 0.0000, 0.5000) (multiplicity 4)
Ga (0.2500, 0.2500, 0.2500) (multiplicity 4)
Ir (0.2500, 0.2500, 0.7500) (multiplicity 4)

***

LuThGaIr | PBE-GGA | optimized geometry

Calculated values
Energy of formation from the pure elements (eV per atom): -0.613
Crystal system: cubic
Spin magnetization (Bohr magnetons per cell): 0.0

a = 7.1065 Å, b = 7.1065 Å, c = 7.1065 Å
α = 90.00°, β = 90.00°, γ = 90.00°
Space group F-43m (No. 216)
Inequivalent atoms, fractional coordinates:
Lu (0.0000, 0.0000, 0.0000) (multiplicity 4)
Th (0.0000, 0.0000, 0.5000) (multiplicity 4)
Ga (0.2500, 0.2500, 0.2500) (multiplicity 4)
Ir (0.2500, 0.2500, 0.7500) (multiplicity 4)

***

LuTiGaIr | PBE-GGA | optimized geometry

Calculated values
Energy of formation from the pure elements (eV per atom): -0.551
Crystal system: cubic
Spin magnetization (Bohr magnetons per cell): 0.0

a = 6.5835 Å, b = 6.5835 Å, c = 6.5835 Å
α = 90.00°, β = 90.00°, γ = 90.00°
Space group F-43m (No. 216)
Inequivalent atoms, fractional coordinates:
Lu (0.0000, 0.0000, 0.0000) (multiplicity 4)
Ti (0.0000, 0.0000, 0.5000) (multiplicity 4)
Ga (0.2500, 0.2500, 0.2500) (multiplicity 4)
Ir (0.2500, 0.2500, 0.7500) (multiplicity 4)

***

MgGa3Ir | PBE-GGA | optimized geometry

Calculated values
Energy of formation from the pure elements (eV per atom): -0.105
Crystal system: cubic
Spin magnetization (Bohr magnetons per cell): 0.0
Distance to the lowest polymorph of the same formula (eV/atom): 0.207

a = 4.8603 Å, b = 4.8603 Å, c = 4.8603 Å
α = 90.00°, β = 90.00°, γ = 90.00°
Space group Pm-3m (No. 221)
Inequivalent atoms, fractional coordinates:
Mg (0.0000, 0.0000, 0.0000) (multiplicity 1)
Ga (0.0000, 0.5000, 0.5000) (multiplicity 3)
Ir (0.5000, 0.5000, 0.5000) (multiplicity 1)

***

Mg2Ga3Ir | PBE-GGA | optimized geometry

Calculated values
Energy of formation from the pure elements (eV per atom): -0.310
Crystal system: monoclinic
Spin magnetization (Bohr magnetons per cell): 0.0

a = 8.9610 Å, b = 5.2925 Å, c = 5.1813 Å
α = 90.00°, β = 124.13°, γ = 90.00°
Space group C2/m (No. 12)
Inequivalent atoms, fractional coordinates:
Mg (0.1298, 0.0000, 0.3706) (multiplicity 4)
Ga (0.0000, 0.5000, 0.5000) (multiplicity 2)
Ga (0.2500, 0.2500, 0.0000) (multiplicity 4)
Ir (0.0000, 0.5000, 0.0000) (multiplicity 2)

***

Mg2GaIr | PBE-GGA | optimized geometry

Calculated values
Energy of formation from the pure elements (eV per atom): 0.114
Crystal system: tetragonal
Spin magnetization (Bohr magnetons per cell): 0.0

a = 3.8987 Å, b = 3.8987 Å, c = 18.9587 Å
α = 90.00°, β = 90.00°, γ = 90.00°
Space group I-42d (No. 122)
Inequivalent atoms, fractional coordinates:
Mg (0.2390, 0.2500, 0.1250) (multiplicity 8)
Ga (0.0000, 0.0000, 0.5000) (multiplicity 4)
Ir (0.0000, 0.0000, 0.0000) (multiplicity 4)

***

MgGa4Ir2 | PBE-GGA | optimized geometry

Calculated values
Energy of formation from the pure elements (eV per atom): 0.518
Crystal system: tetragonal
Spin magnetization (Bohr magnetons per cell): 0.0
Distance to the lowest polymorph of the same formula (eV/atom): 0.784

a = 4.8166 Å, b = 4.8166 Å, c = 12.7490 Å
α = 90.00°, β = 90.00°, γ = 90.00°
Space group I4/mmm (No. 139)
Inequivalent atoms, fractional coordinates:
Mg (0.0000, 0.0000, 0.0000) (multiplicity 2)
Ga (0.0000, 0.0000, 0.2116) (multiplicity 4)
Ga (0.0000, 0.5000, 0.0000) (multiplicity 4)
Ir (0.0000, 0.0000, 0.3996) (multiplicity 4)

***

MgGaIr | PBE-GGA | optimized geometry

Calculated values
Energy of formation from the pure elements (eV per atom): -0.403
Crystal system: tetragonal
Spin magnetization (Bohr magnetons per cell): 0.0

a = 3.1967 Å, b = 3.1967 Å, c = 9.1399 Å
α = 90.00°, β = 90.00°, γ = 90.00°
Space group I4mm (No. 107)
Inequivalent atoms, fractional coordinates:
Mg (0.0000, 0.0000, 0.0000) (multiplicity 2)
Ga (0.0000, 0.0000, 0.6835) (multiplicity 2)
Ir (0.0000, 0.0000, 0.3272) (multiplicity 2)

***

Mg2GaIr | PBE-GGA | optimized geometry

Calculated values
Energy of formation from the pure elements (eV per atom): -0.289
Crystal system: tetragonal
Spin magnetization (Bohr magnetons per cell): 0.0

a = 3.2470 Å, b = 3.2470 Å, c = 6.3192 Å
α = 90.00°, β = 90.00°, γ = 90.00°
Space group P4/mmm (No. 123)
Inequivalent atoms, fractional coordinates:
Mg (0.0000, 0.0000, 0.2270) (multiplicity 2)
Ga (0.5000, 0.5000, 0.5000) (multiplicity 1)
Ir (0.5000, 0.5000, 0.0000) (multiplicity 1)

***

Mg2Ga3Ir2 | PBE-GGA | optimized geometry

Calculated values
Energy of formation from the pure elements (eV per atom): -0.463
Crystal system: monoclinic
Spin magnetization (Bohr magnetons per cell): 0.0

a = 9.5831 Å, b = 3.9041 Å, c = 6.9472 Å
α = 90.00°, β = 111.05°, γ = 90.00°
Space group C2/m (No. 12)
Inequivalent atoms, fractional coordinates:
Mg (0.1560, 0.0000, 0.3044) (multiplicity 4)
Ga (0.0000, 0.5000, 0.5000) (multiplicity 2)
Ga (0.1352, 0.5000, 0.9586) (multiplicity 4)
Ir (0.1353, 0.0000, 0.7072) (multiplicity 4)

***

MgGa2Ir2 | PBE-GGA | optimized geometry

Calculated values
Energy of formation from the pure elements (eV per atom): -0.314
Crystal system: tetragonal
Spin magnetization (Bohr magnetons per cell): 0.0
Distance to the lowest polymorph of the same formula (eV/atom): 0.157

a = 3.9024 Å, b = 3.9024 Å, c = 11.4555 Å
α = 90.00°, β = 90.00°, γ = 90.00°
Space group I4/mmm (No. 139)
Inequivalent atoms, fractional coordinates:
Mg (0.0000, 0.0000, 0.0000) (multiplicity 2)
Ga (0.0000, 0.5000, 0.2500) (multiplicity 4)
Ir (0.0000, 0.0000, 0.3894) (multiplicity 4)

***

Mg2GaIr | PBE-GGA | optimized geometry

Calculated values
Energy of formation from the pure elements (eV per atom): -0.283
Crystal system: tetragonal
Spin magnetization (Bohr magnetons per cell): 0.0

a = 4.0885 Å, b = 4.0885 Å, c = 3.8948 Å
α = 90.00°, β = 90.00°, γ = 90.00°
Space group P4/mmm (No. 123)
Inequivalent atoms, fractional coordinates:
Mg (0.0000, 0.5000, 0.0000) (multiplicity 2)
Ga (0.0000, 0.0000, 0.5000) (multiplicity 1)
Ir (0.5000, 0.5000, 0.5000) (multiplicity 1)

***

Mg2Ga6Ir | PBE-GGA | optimized geometry

Calculated values
Energy of formation from the pure elements (eV per atom): -0.209
Crystal system: trigonal
Spin magnetization (Bohr magnetons per cell): 0.0

a = 5.3571 Å, b = 5.3571 Å, c = 6.4301 Å
α = 90.00°, β = 90.00°, γ = 120.00°
Space group P-3m1 (No. 164)
Inequivalent atoms, fractional coordinates:
Mg (0.3333, 0.6667, 0.0751) (multiplicity 2)
Ga (0.1695, 0.3391, 0.6740) (multiplicity 6)
Ir (0.0000, 0.0000, 0.0000) (multiplicity 1)

***

MgGaIr2 | PBE-GGA | optimized geometry

Calculated values
Energy of formation from the pure elements (eV per atom): -0.454
Crystal system: tetragonal
Spin magnetization (Bohr magnetons per cell): 0.0

a = 4.3182 Å, b = 4.3182 Å, c = 3.1065 Å
α = 90.00°, β = 90.00°, γ = 90.00°
Space group P4/mmm (No. 123)
Inequivalent atoms, fractional coordinates:
Mg (0.0000, 0.0000, 0.0000) (multiplicity 1)
Ga (0.5000, 0.5000, 0.0000) (multiplicity 1)
Ir (0.0000, 0.5000, 0.5000) (multiplicity 2)

***

MgGa2Ir | PBE-GGA | optimized geometry

Calculated values
Energy of formation from the pure elements (eV per atom): -0.473
Crystal system: orthorhombic
Spin magnetization (Bohr magnetons per cell): 0.0

a = 14.3988 Å, b = 7.4690 Å, c = 5.1435 Å
α = 90.00°, β = 90.00°, γ = 90.00°
Space group Pnma (No. 62)
Inequivalent atoms, fractional coordinates:
Mg (0.1061, 0.2500, 0.2478) (multiplicity 4)
Mg (0.1359, 0.7500, 0.0310) (multiplicity 4)
Ga (0.0375, 0.0493, 0.7612) (multiplicity 8)
Ga (0.2109, 0.5472, 0.5299) (multiplicity 8)
Ir (0.0679, 0.7500, 0.5238) (multiplicity 4)
Ir (0.1867, 0.2500, 0.7599) (multiplicity 4)

***

MgGa2Ir | PBE-GGA | optimized geometry

Calculated values
Energy of formation from the pure elements (eV per atom): -0.053
Crystal system: trigonal
Spin magnetization (Bohr magnetons per cell): 0.0

a = 2.9917 Å, b = 2.9917 Å, c = 28.5501 Å
α = 90.00°, β = 90.00°, γ = 120.00°
Space group R-3m (No. 166, hexagonal axes)
Inequivalent atoms, fractional coordinates:
Mg (0.0000, 0.0000, 0.0000) (multiplicity 3)
Ga (0.0000, 0.0000, 0.0978) (multiplicity 6)
Ir (0.0000, 0.0000, 0.5000) (multiplicity 3)

***

MgGa12Ir6 | PBE-GGA | optimized geometry

Calculated values
Energy of formation from the pure elements (eV per atom): -0.319
Crystal system: trigonal
Spin magnetization (Bohr magnetons per cell): 0.0

a = 11.6298 Å, b = 11.6298 Å, c = 8.3558 Å
α = 90.00°, β = 90.00°, γ = 120.00°
Space group R-3m (No. 166, hexagonal axes)
Inequivalent atoms, fractional coordinates:
Mg (0.0000, 0.0000, 0.0000) (multiplicity 3)
Ga (0.0000, 0.3823, 0.5000) (multiplicity 18)
Ga (0.0894, 0.1789, 0.2999) (multiplicity 18)
Ir (0.0612, 0.5306, 0.2528) (multiplicity 18)

***

Mg2Ga2Ir | PBE-GGA | optimized geometry

Calculated values
Energy of formation from the pure elements (eV per atom): -0.236
Crystal system: tetragonal
Spin magnetization (Bohr magnetons per cell): 0.0
Distance to the lowest polymorph of the same formula (eV/atom): 0.006

a = 6.5532 Å, b = 6.5532 Å, c = 4.1047 Å
α = 90.00°, β = 90.00°, γ = 90.00°
Space group P4/mbm (No. 127)
Inequivalent atoms, fractional coordinates:
Mg (0.1752, 0.3248, 0.0000) (multiplicity 4)
Ga (0.1368, 0.6368, 0.5000) (multiplicity 4)
Ir (0.0000, 0.0000, 0.5000) (multiplicity 2)

***

MgGa6Ir4 | PBE-GGA | optimized geometry

Calculated values
Energy of formation from the pure elements (eV per atom): -0.338
Crystal system: tetragonal
Spin magnetization (Bohr magnetons per cell): 0.0

a = 6.4668 Å, b = 6.4668 Å, c = 9.5478 Å
α = 90.00°, β = 90.00°, γ = 90.00°
Space group I-42m (No. 121)
Inequivalent atoms, fractional coordinates:
Mg (0.0000, 0.0000, 0.0000) (multiplicity 2)
Ga (0.0000, 0.5000, 0.0000) (multiplicity 4)
Ga (0.1709, 0.1709, 0.7077) (multiplicity 8)
Ir (0.1847, 0.1847, 0.4198) (multiplicity 8)

***

MgGa2Ir | PBE-GGA | optimized geometry

Calculated values
Energy of formation from the pure elements (eV per atom): -0.381
Crystal system: trigonal
Spin magnetization (Bohr magnetons per cell): 0.0

a = 4.2414 Å, b = 4.2414 Å, c = 13.9199 Å
α = 90.00°, β = 90.00°, γ = 120.00°
Space group R3m (No. 160, hexagonal axes)
Inequivalent atoms, fractional coordinates:
Mg (0.0000, 0.0000, 0.0000) (multiplicity 3)
Ga (0.0000, 0.0000, 0.5639) (multiplicity 3)
Ga (0.0000, 0.0000, 0.7898) (multiplicity 3)
Ir (0.0000, 0.0000, 0.1930) (multiplicity 3)

***

MgGa4Ir2 | PBE-GGA | optimized geometry

Calculated values
Energy of formation from the pure elements (eV per atom): -0.266
Crystal system: monoclinic
Spin magnetization (Bohr magnetons per cell): 0.0
Distance to the lowest polymorph of the same formula (eV/atom): 0.000

a = 7.3129 Å, b = 6.8963 Å, c = 5.5089 Å
α = 90.00°, β = 124.35°, γ = 90.00°
Space group C2/m (No. 12)
Inequivalent atoms, fractional coordinates:
Mg (0.0000, 0.0000, 0.0000) (multiplicity 2)
Ga (0.2111, 0.1926, 0.7103) (multiplicity 8)
Ir (0.0577, 0.5000, 0.7915) (multiplicity 4)

***

Mg2GaIr2 | PBE-GGA | optimized geometry

Calculated values
Energy of formation from the pure elements (eV per atom): -0.452
Crystal system: orthorhombic
Spin magnetization (Bohr magnetons per cell): 0.0
Distance to the lowest polymorph of the same formula (eV/atom): 0.021

a = 3.9379 Å, b = 5.6323 Å, c = 7.8063 Å
α = 90.00°, β = 90.00°, γ = 90.00°
Space group Immm (No. 71)
Inequivalent atoms, fractional coordinates:
Mg (0.0000, 0.0000, 0.2008) (multiplicity 4)
Ga (0.0000, 0.5000, 0.0000) (multiplicity 2)
Ir (0.0000, 0.2727, 0.5000) (multiplicity 4)